Entry 1:
Here is a PBEsol-optimized structure of SrCCl from Alexandria. Energies are from SCAN.

Structure (POSCAR):
```
SrCCl
1.0
-0.016 -4.280 0.658
1.208 2.765 3.763
-7.095 0.325 1.941
Sr C Cl
2 2 2
Direct
0.161 0.322 0.213
0.839 0.678 0.787
0.573 0.145 0.990
0.427 0.855 0.010
0.154 0.308 0.637
0.846 0.692 0.363
```

Results
**Density of states at the Fermi level**: 0.00 states/eV/cell
**SG**: C2/m
**Raw formation energy**: -1.422 eV/atom

Entry 2:
Here is a PBEsol-optimized structure of Nb3IrS8 from Alexandria. Energies are from SCAN.

Structure (POSCAR):
```
Nb3IrS8
1.0
-2.308 -0.595 6.117
6.476 0.204 -1.056
-2.205 6.122 -1.973
Nb Ir S
3 1 8
Direct
0.500 0.500 0.000
0.000 0.500 0.000
0.500 0.000 0.000
0.000 0.000 0.000
0.969 0.293 0.262
0.464 0.799 0.262
0.968 0.807 0.260
0.453 0.293 0.260
0.032 0.193 0.740
0.547 0.707 0.740
0.031 0.707 0.738
0.536 0.201 0.738
```

Results
**Density of states at the Fermi level**: 2.91 states/eV/cell
**SG**: C2/m
**ΔE to the lowest computed polymorph**: 0.055 eV per atom
**Raw formation energy**: -0.881 eV/atom

Entry 3:
Here is a PBEsol-optimized structure of HfTe3As from Alexandria. Energies are from SCAN.

Structure (POSCAR):
```
HfTe3As
1.0
-3.926 -0.714 3.722
3.726 -1.704 3.604
0.690 5.134 1.714
As Te Hf
1 3 1
Direct
0.500 0.500 0.500
0.000 0.500 0.000
0.000 0.000 0.500
0.500 0.000 0.000
0.000 0.000 0.000
```

Results
**Density of states at the Fermi level**: 3.15 states/eV/cell
**SG**: Pm-3m
**Raw formation energy**: 0.285 eV/atom

The lowest raw formation energy belongs to which entry?
SrCCl